# 1
Entry from the Alexandria database: an optimized crystal structure of BaZn2Ni (GGA-PBE).

abc: 8.890 8.890 8.890
angles: 146.75 146.75 47.73
Atoms (fractional coordinates):
Ba  0.375  0.625  0.750
Ba  0.625  0.375  0.250
Zn  0.000  0.000  0.000
Zn  0.000  0.000  0.500
Zn  0.000  0.500  0.000
Zn  0.500  0.000  0.500
Ni  0.125  0.875  0.250
Ni  0.875  0.125  0.750

---

# 2
Entry from the Alexandria database: an optimized crystal structure of TmHf2Pa (GGA-PBE).

abc: 3.801 3.801 6.972
angles: 90.00 90.00 90.00
Atoms (fractional coordinates):
Tm  0.000  0.000  0.000
Hf  0.500  0.500  0.288
Hf  0.500  0.500  0.712
Pa  0.000  0.000  0.500

---

no.,total DFT energy (no corrections) (eV/cell),E_form (eV/atom)
1,-20.93,-0.05
2,-33.27,0.15